Entry 1:
VASP calculation (PBEsol) on a relaxed structure of NbAuCl3.

Total moment (μB per atom): 0.000
Energy relative to the elements, uncorrected (meV per atom): -184
VASP energy (eV/cell): -21.69

abc: 4.802 4.802 4.802
angles: 90.00 90.00 90.00
Space group Pm-3m (No. 221)
Inequivalent atoms, fractional coordinates:
1 Nb 0.000 0.000 0.000 [1 per cell]
2 Au 0.500 0.500 0.500 [1 per cell]
3 Cl 0.000 0.000 0.500 [3 per cell]

***

Entry 2:
VASP calculation (PBEsol) on a relaxed structure of NbAuCl2.

Total moment (μB per atom): 0.000
Energy relative to the elements, uncorrected (meV per atom): -549
VASP energy (eV/cell): -62.87

abc: 3.0168 3.0168 30.9182
angles: 90.00 90.00 120.00
Space group R-3m (No. 166, hexagonal axes)
Inequivalent atoms, fractional coordinates:
1 Nb 0.0000 0.0000 0.0000 [3 per cell]
2 Au 0.0000 0.0000 0.5000 [3 per cell]
3 Cl 0.0000 0.0000 0.3916 [6 per cell]